(1)
The following is a DFT calculation (PBE-GGA) of crystalline AcUAlO6 at its relaxed geometry.

```
AcUAlO6
1.0
5.354 0.000 0.000
-2.677 4.637 0.000
0.000 0.000 10.790
Ac U Al O
2 2 2 12
Cartesian
0.000 0.000 0.000
0.000 0.000 5.395
0.000 3.091 2.697
2.677 1.546 8.092
0.000 3.091 8.092
2.677 1.546 2.697
-0.910 1.766 6.990
-1.603 2.965 9.195
0.910 1.766 9.195
-0.693 4.542 6.990
1.984 0.095 1.595
1.074 1.671 3.800
1.603 2.965 6.990
0.693 4.542 9.195
3.370 0.095 3.800
1.767 2.871 1.595
4.280 1.671 1.595
3.587 2.871 3.800
```

Properties
**Raw formation energy**: -3.19 eV/atom
**SG**: P-31c, No. 163
**Calculated density**: 7.3 Mg/m³
**Magnetization**: 0.0 μB per cell

=====

(2)
The following is a DFT calculation (PBE-GGA) of crystalline Ac2UAlO6 at its relaxed geometry.

```
Ac2UAlO6
1.0
5.741 0.000 0.000
0.000 8.032 0.000
0.000 0.000 6.450
Ac U Al O
4 2 2 12
Cartesian
1.435 0.131 1.190
1.435 3.885 1.190
4.306 4.147 5.260
4.306 7.902 5.260
1.435 2.008 4.330
4.306 6.024 2.120
1.435 6.024 4.978
4.306 2.008 1.472
0.027 6.024 3.683
0.042 6.024 6.400
1.435 4.113 5.109
1.435 7.935 5.109
2.828 6.024 6.400
2.843 6.024 3.683
2.897 2.008 2.766
2.913 2.008 0.050
4.306 0.097 1.340
4.306 3.919 1.340
5.698 2.008 0.050
5.714 2.008 2.766
```

Properties
**Raw formation energy**: -2.96 eV/atom
**SG**: Pmmn, No. 59
**Calculated density**: 9.1 Mg/m³
**Magnetization**: 6.0 μB per cell